Compound: TaFeSnO6
Source: Alexandria
Functional: GGA+U
Structure: relaxed

Computed properties:
**SG**: P-31c (163)
**Volume**: 105.9 Å³/f.u.
**E_tot**: -7.617 eV per atom

Cell lengths 5.233, 5.233, 8.933 Å; angles 90.00, 90.00, 120.00 degrees
Fractional coordinates of all 18 atoms:
Ta1 0.667 0.333 0.250
Ta2 0.333 0.667 0.750
Fe1 0.000 0.000 0.000
Fe2 0.000 0.000 0.500
Sn1 0.333 0.667 0.250
Sn2 0.667 0.333 0.750
O1 0.671 0.658 0.128
O2 0.987 0.329 0.128
O3 0.329 0.987 0.628
O4 0.013 0.671 0.872
O5 0.342 0.329 0.372
O6 0.987 0.658 0.372
O7 0.658 0.987 0.872
O8 0.671 0.013 0.372
O9 0.013 0.342 0.628
O10 0.342 0.013 0.128
O11 0.658 0.671 0.628
O12 0.329 0.342 0.872